Crystalline WSeOF2 at its relaxed geometry, computed with GGA+U.

Results
Volume = 14.70 A^3/atom
Offset from the most stable computed form = 0 meV/atom
M_tot = 0.364 Bohr magnetons per cell
Symmetry = P4/mmm, No. 123

Lattice parameters (Å, degrees): 4.318 4.318 3.942 90.00 90.00 90.00
Atoms (fractional coordinates):
O 0.000 0.000 0.500
Se 0.500 0.500 0.500
F 0.500 0.000 0.000
F 0.000 0.500 0.000
W 0.000 0.000 0.000